## SnB2Os2 (PBE)

Data for a geometry-optimized SnB2Os2 structure.

Unit cell a=6.775 b=6.775 c=2.838 alpha=90.00 beta=90.00 gamma=90.00
Element x y z (fractional)
Sn 0.000 0.000 0.000
Sn 0.500 0.500 0.000
B 0.124 0.376 0.500
B 0.376 0.876 0.500
B 0.624 0.124 0.500
B 0.876 0.624 0.500
Os 0.143 0.643 0.000
Os 0.357 0.143 0.000
Os 0.643 0.857 0.000
Os 0.857 0.357 0.000

Computed properties:
- Symmetry: No. 127
- Density: 13.28 g/cm3
- Energy above the most stable polymorph in this dataset: 590 meV per atom